No. 1
Entry from Alexandria: PaTiSe2 after structural relaxation (PBE).

- ΔE to the lowest computed polymorph (eV/atom) = 0.367

Unit cell a=3.4031 b=3.4031 c=27.2776 alpha=90.00 beta=90.00 gamma=120.00
Space group R-3m (No. 166, hexagonal axes)
Symmetry-distinct sites (fractional):
Pa 0.0000 0.0000 0.0000 (multiplicity 3)
Ti 0.0000 0.0000 0.5000 (multiplicity 3)
Se 0.0000 0.0000 0.1068 (multiplicity 6)


No. 2
Entry from Alexandria: PaTi2Se6 after structural relaxation (PBE).

Unit cell a=12.502 b=4.999 c=8.462 alpha=90.00 beta=122.59 gamma=90.00
Space group C2/m (No. 12)
Symmetry-distinct sites (fractional):
Pa 0.000 0.000 0.000 (multiplicity 2)
Ti 0.193 0.000 0.574 (multiplicity 4)
Se 0.034 0.000 0.702 (multiplicity 4)
Se 0.143 0.500 0.071 (multiplicity 4)
Se 0.226 0.500 0.645 (multiplicity 4)


No. 3
Entry from Alexandria: Pa3TiTl3Se8 after structural relaxation (PBE).

Unit cell a=8.0223 b=8.0223 c=24.3798 alpha=90.00 beta=90.00 gamma=120.00
Space group R-3m (No. 166, hexagonal axes)
Symmetry-distinct sites (fractional):
Pa 0.0000 0.5000 0.0000 (multiplicity 9)
Ti 0.0000 0.0000 0.0000 (multiplicity 3)
Tl 0.0000 0.5000 0.5000 (multiplicity 9)
Se 0.0000 0.0000 0.2623 (multiplicity 6)
Se 0.0167 0.5083 0.7325 (multiplicity 18)


No. 4
Entry from Alexandria: PaTlSe2 after structural relaxation (PBE).

Unit cell a=3.588 b=3.588 c=8.063 alpha=90.00 beta=90.00 gamma=90.00
Space group P4/mmm (No. 123)
Symmetry-distinct sites (fractional):
Pa 0.000 0.000 0.000 (multiplicity 1)
Tl 0.000 0.000 0.500 (multiplicity 1)
Se 0.500 0.500 0.201 (multiplicity 2)


Values for formation energy (no corrections), eV per formula unit, ordered as above
-2.66 -9.87 -15.42 -3.82
Values for DOS(E_F), states/eV per atom, ordered as above
1.6389 0.2216 1.0456 1.3041
Values for DFT total energy, eV per atom, ordered as above
-6.76 -6.23 -5.79 -5.66